The following is a PBE-GGA calculation of a relaxed HfV3C crystal, from the Alexandria database.

## Properties
Its total moment is 0.00 μB per cell. As for the raw total energy: -9.581 eV/atom. The calculation puts the density of states at the Fermi level at 5.64 states/eV/f.u. The energy relative to the lowest polymorph listed for this composition comes out at 0 meV/atom. The crystal system is orthorhombic. As for the space-group type: No. 62.

Lattice parameters (Å, degrees): 7.8683 3.1272 10.5731 90.00 90.00 90.00
Atoms (fractional coordinates):
Hf 0.1766 0.2500 0.0192
Hf 0.3234 0.7500 0.5192
Hf 0.6766 0.2500 0.4808
Hf 0.8234 0.7500 0.9808
V 0.0482 0.2500 0.4192
V 0.1022 0.7500 0.2360
V 0.1513 0.7500 0.7790
V 0.3487 0.2500 0.2790
V 0.3978 0.2500 0.7360
V 0.4518 0.7500 0.9192
V 0.5482 0.2500 0.0808
V 0.6022 0.7500 0.2640
V 0.6513 0.7500 0.7210
V 0.8487 0.2500 0.2210
V 0.8978 0.2500 0.7640
V 0.9518 0.7500 0.5808
C 0.1374 0.2500 0.6325
C 0.3626 0.7500 0.1325
C 0.6374 0.2500 0.8675
C 0.8626 0.7500 0.3675

The following is a PBE-GGA calculation of a relaxed Hf2VC crystal, from the Alexandria database.

## Properties
Its total moment is 0.41 μB per cell. As for the raw total energy: -8.698 eV/atom. The calculation puts the density of states at the Fermi level at 5.28 states/eV/f.u. The energy relative to the lowest polymorph listed for this composition comes out at 852 meV/atom. The crystal system is cubic. As for the space-group type: No. 225.

Lattice parameters (Å, degrees): 4.4106 4.4106 4.4106 60.00 60.00 60.00
Atoms (fractional coordinates):
Hf 0.2500 0.2500 0.2500
Hf 0.7500 0.7500 0.7500
V 0.0000 0.0000 0.0000
C 0.5000 0.5000 0.5000

The following is a PBE-GGA calculation of a relaxed HfV2C crystal, from the Alexandria database.

## Properties
Its total moment is 0.00 μB per cell. As for the raw total energy: -8.335 eV/atom. The calculation puts the density of states at the Fermi level at 3.24 states/eV/f.u. The energy relative to the lowest polymorph listed for this composition comes out at 1339 meV/atom. The crystal system is cubic. As for the space-group type: No. 225.

Lattice parameters (Å, degrees): 4.1489 4.1489 4.1489 60.00 60.00 60.00
Atoms (fractional coordinates):
Hf 0.0000 0.0000 0.0000
V 0.2500 0.2500 0.2500
V 0.7500 0.7500 0.7500
C 0.5000 0.5000 0.5000

The following is a PBE-GGA calculation of a relaxed HfV2C crystal, from the Alexandria database.

## Properties
Its total moment is 0.00 μB per cell. As for the raw total energy: -9.591 eV/atom. The calculation puts the density of states at the Fermi level at 5.26 states/eV/f.u. The energy relative to the lowest polymorph listed for this composition comes out at 83 meV/atom. The crystal system is trigonal. As for the space-group type: No. 166.

Lattice parameters (Å, degrees): 7.4189 7.4189 7.4189 23.04 23.04 23.04
Atoms (fractional coordinates):
Hf 0.0000 0.0000 0.0000
V 0.2181 0.2181 0.2181
V 0.7819 0.7819 0.7819
C 0.5000 0.5000 0.5000

| no. | energy of formation (meV/atom) |
| --- | --- |
| 1 | -274 |
| 2 | 864 |
| 3 | 1019 |
| 4 | -237 |